No. 1
Below is KCa2Re after structural relaxation, with properties calculated at the PBEsol level.

```
KCa2Re
1.0
10.6614 0.0000 0.0000
0.0000 3.0136 0.0000
-2.7124 0.0000 8.7203
K Ca Re
2 4 2
Cartesian
0.0000 0.0000 0.0000
5.3307 1.5068 0.0000
0.0029 1.5068 5.6794
2.6403 1.5068 3.2744
5.3336 0.0000 5.6794
7.9710 0.0000 3.2744
2.5241 0.0000 5.6932
7.8548 1.5068 5.6932
```

Summary:
Energy relative to the lowest polymorph listed for this composition, meV per atom: 190
ΔE_f, meV per atom: 927

***

No. 2
Below is ReAgAs2S after structural relaxation, with properties calculated at the PBEsol level.

```
ReAgAs2S
1.0
4.7134 0.0000 0.0000
0.0000 4.7134 0.0000
0.0000 0.0000 4.4543
Re Ag As S
1 1 2 1
Cartesian
0.0000 0.0000 0.0000
2.3567 2.3567 0.0000
0.0000 2.3567 2.2272
2.3567 0.0000 2.2272
2.3567 2.3567 2.2272
```

Summary:
Formation energy from raw total energies, meV/atom: 1463

***

No. 3
Below is TmMgCd2 after structural relaxation, with properties calculated at the PBEsol level.

```
TmMgCd2
1.0
7.0356 0.0000 0.0000
0.0000 7.0356 0.0000
0.0000 0.0000 7.0356
Tm Mg Cd
4 4 8
Cartesian
0.0000 0.0000 0.0000
0.0000 3.5178 3.5178
3.5178 0.0000 3.5178
3.5178 3.5178 0.0000
0.0000 0.0000 3.5178
0.0000 3.5178 0.0000
3.5178 0.0000 0.0000
3.5178 3.5178 3.5178
1.7589 1.7589 1.7589
1.7589 1.7589 5.2767
1.7589 5.2767 1.7589
1.7589 5.2767 5.2767
5.2767 1.7589 1.7589
5.2767 1.7589 5.2767
5.2767 5.2767 1.7589
5.2767 5.2767 5.2767
```

Summary:
ΔE_f, meV per atom: -322

***

The calculation returns the following magnetic moment values, one per record and in order: 0.0; 2.9; 0.0 μB/cell.